Version one
A plane-wave DFT calculation with PBE was carried out for a geometry-optimized SmAl2Cu9 structure.

It has space group I4_1/amd (No. 141, origin choice 2), with a = 10.1518 Å, b = 10.1518 Å, c = 6.6161 Å, α = 90.00°, β = 90.00° and γ = 90.00°. The inequivalent atoms are Sm at (0.0000, 0.2500, 0.3750), Al at (0.0000, 0.0000, 0.0000), Cu at (0.0000, 0.2500, 0.8750) and Cu at (0.1226, 0.0423, 0.6817).

As for the density of states at the Fermi level: 6.52 states/eV/f.u.

Version two
A plane-wave DFT calculation with PBE was carried out for a geometry-optimized SmAl2Cu9 structure.

It has space group R-3m (No. 166, hexagonal axes), with a = 4.9640 Å, b = 4.9640 Å, c = 23.9672 Å, α = 90.00°, β = 90.00° and γ = 120.00°. The inequivalent atoms are Sm at (0.0000, 0.0000, 0.0000), Al at (0.0000, 0.0000, 0.1450), Cu at (0.0000, 0.0000, 0.3340), Cu at (0.0000, 0.0000, 0.5000) and Cu at (0.0064, 0.5032, 0.9128).

As for the density of states at the Fermi level: 4.45 states/eV/f.u.

Which one is most stable, and which one is least stable? version one is the most stable of them, while version two is the least stable.

Version one
A plane-wave DFT calculation with PBE was carried out for a geometry-optimized Sm8Al2Cu structure.

It has space group Immm (No. 71), with a = 5.0829 Å, b = 8.6398 Å, c = 14.2451 Å, α = 90.00°, β = 90.00° and γ = 90.00°. The inequivalent atoms are Sm at (0.0000, 0.0000, 0.1334), Sm at (0.0000, 0.2190, 0.3427), Sm at (0.0000, 0.3264, 0.0000), Al at (0.0000, 0.5000, 0.1982) and Cu at (0.0000, 0.5000, 0.5000).

As for the density of states at the Fermi level: 14.02 states/eV/f.u.

Version two
A plane-wave DFT calculation with PBE was carried out for a geometry-optimized Sm8Al2Cu structure.

It has space group C2/m (No. 12), with a = 18.7079 Å, b = 5.1225 Å, c = 6.7582 Å, α = 90.00°, β = 103.36° and γ = 90.00°. The inequivalent atoms are Sm at (0.0187, 0.0000, 0.2767), Sm at (0.0937, 0.5000, 0.9631), Sm at (0.1529, 0.5000, 0.4724), Sm at (0.2081, 0.0000, 0.7993), Al at (0.1862, 0.0000, 0.2467) and Cu at (0.0000, 0.5000, 0.5000).

As for the density of states at the Fermi level: 10.69 states/eV/f.u.

Which one is most stable, and which one is least stable? version two is the most stable of them, while version one is the least stable.